A:
The following is a PBE calculation of a relaxed PmPaP2 crystal, from Alexandria.

Cell: 4.0309 4.0309 13.2528 Å, 90.00 90.00 120.00°
Closest atoms and distances in Å follow each position.
Fractional positions:
Pm  0.3333  0.6667  0.2500  6 P 2.92
Pm  0.6667  0.3333  0.7500  6 P 2.92
Pa  0.0000  0.0000  0.0000  6 P 2.80
Pa  0.0000  0.0000  0.5000  6 P 2.80
P  0.3333  0.6667  0.6169  3 Pa 2.80, 3 Pm 2.92
P  0.3333  0.6667  0.8831  3 Pa 2.80, 3 Pm 2.92
P  0.6667  0.3333  0.1169  3 Pa 2.80, 3 Pm 2.92
P  0.6667  0.3333  0.3831  3 Pa 2.80, 3 Pm 2.92

Results
ρ   7.8 g/cm3



B:
The following is a PBE calculation of a relaxed PmPaP2 crystal, from Alexandria.

Cell: 4.8988 4.8988 4.8988 Å, 60.00 60.00 60.00°
Closest atoms and distances in Å follow each position.
Fractional positions:
Pm  0.0000  0.0000  0.0000  8 P 3.00
Pa  0.5000  0.5000  0.5000  8 P 3.00
P  0.2500  0.2500  0.2500  4 Pa 3.00, 4 Pm 3.00
P  0.7500  0.7500  0.7500  4 Pa 3.00, 4 Pm 3.00

Results
ρ   8.7 g/cm3



C:
The following is a PBE calculation of a relaxed PmPaP2 crystal, from Alexandria.

Cell: 7.0074 7.0074 7.0074 Å, 33.50 33.50 33.50°
Closest atoms and distances in Å follow each position.
Fractional positions:
Pm  0.0000  0.0000  0.0000  6 P 2.91
Pa  0.5000  0.5000  0.5000  6 P 2.80
P  0.2453  0.2453  0.2453  3 Pa 2.80, 3 Pm 2.91
P  0.7547  0.7547  0.7547  3 Pa 2.80, 3 Pm 2.91

Results
ρ   7.8 g/cm3



Of them, the most stable is C and the least stable is B.



A:
The following is a PBE calculation of a relaxed PmPaPS crystal, from Alexandria.

Cell: 4.8905 4.8905 4.8905 Å, 60.00 60.00 60.00°
Closest atoms and distances in Å follow each position.
Fractional positions:
Pm  0.0000  0.0000  0.0000  4 S 2.99, 4 P 2.99
Pa  0.5000  0.5000  0.5000  4 S 2.99, 4 P 2.99
P  0.2500  0.2500  0.2500  4 Pa 2.99, 4 Pm 2.99
S  0.7500  0.7500  0.7500  4 Pa 2.99, 4 Pm 2.99

Results
ρ   8.8 g/cm3



B:
The following is a PBE calculation of a relaxed PmPaPS crystal, from Alexandria.

Cell: 7.4216 7.4216 7.4216 Å, 30.45 30.45 30.45°
Closest atoms and distances in Å follow each position.
Fractional positions:
Pm  0.0000  0.0000  0.0000  3 P 2.82, 3 S 3.00
Pa  0.8218  0.8218  0.8218  3 P 2.76, 3 S 2.88
P  0.4134  0.4134  0.4134  3 Pa 2.76, 3 Pm 2.82
S  0.2398  0.2398  0.2398  3 Pa 2.88, 3 Pm 3.00

Results
ρ   7.8 g/cm3



Of them, the most stable is B and the least stable is A.